No. 1
Below is a relaxed BaTlIn2Pd crystal, with properties calculated at the PBE level.

abc: 5.299 5.299 5.433
angles: 90.00 90.00 90.00
Space group P4/mmm (No. 123)
Unique sites:
1 Ba 0.000 0.000 0.000 [1 per cell]
2 Tl 0.500 0.500 0.000 [1 per cell]
3 In 0.000 0.500 0.500 [2 per cell]
4 Pd 0.500 0.500 0.500 [1 per cell]

Summary:
DOS(E_F): 0.657 states/eV per atom
ΔH_f (0 K): -1.544 eV per formula unit
energy above the most stable polymorph in this dataset: 0 meV per atom
total moment: 0.00 μB/cell

No. 2
Below is a relaxed BaTlIn2Pd crystal, with properties calculated at the PBE level.

abc: 5.276 5.276 5.931
angles: 90.00 90.00 90.00
Space group P4/mmm (No. 123)
Unique sites:
1 Ba 0.000 0.000 0.000 [1 per cell]
2 Tl 0.500 0.500 0.000 [1 per cell]
3 In 0.000 0.500 0.500 [2 per cell]
4 Pd 0.000 0.000 0.500 [1 per cell]

Summary:
DOS(E_F): 0.651 states/eV per atom
ΔH_f (0 K): -1.444 eV per formula unit
energy above the most stable polymorph in this dataset: 20 meV per atom
total moment: 0.00 μB/cell

No. 3
Below is a relaxed Ba3Tl2In2Pd4 crystal, with properties calculated at the PBE level.

abc: 4.8059 4.8059 16.3201
angles: 90.00 90.00 120.00
Space group P-3m1 (No. 164)
Unique sites:
1 Ba 0.0000 0.0000 0.0000 [1 per cell]
2 Ba 0.0000 0.0000 0.2833 [2 per cell]
3 Tl 0.3333 0.6667 0.5654 [2 per cell]
4 In 0.3333 0.6667 0.1438 [2 per cell]
5 Pd 0.3333 0.6667 0.3922 [2 per cell]
6 Pd 0.3333 0.6667 0.8615 [2 per cell]

Summary:
DOS(E_F): 0.667 states/eV per atom
ΔH_f (0 K): -4.743 eV per formula unit
total moment: 0.00 μB/cell

No. 4
Below is a relaxed Ba3Zn2In2Pd4 crystal, with properties calculated at the PBE level.

abc: 4.5893 4.5893 16.5877
angles: 90.00 90.00 120.00
Space group P-3m1 (No. 164)
Unique sites:
1 Ba 0.0000 0.0000 0.0000 [1 per cell]
2 Ba 0.0000 0.0000 0.2750 [2 per cell]
3 Zn 0.3333 0.6667 0.1373 [2 per cell]
4 In 0.3333 0.6667 0.5625 [2 per cell]
5 Pd 0.3333 0.6667 0.3966 [2 per cell]
6 Pd 0.3333 0.6667 0.8653 [2 per cell]

Summary:
DOS(E_F): 0.334 states/eV per atom
ΔH_f (0 K): -5.388 eV per formula unit
total moment: 0.00 μB/cell

No. 5
Below is a relaxed BaZnInPd crystal, with properties calculated at the PBE level.

abc: 4.5883 4.5883 18.1057
angles: 90.00 90.00 120.00
Space group R3m (No. 160, hexagonal axes)
Unique sites:
1 Ba 0.0000 0.0000 0.0000 [3 per cell]
2 Zn 0.0000 0.0000 0.4671 [3 per cell]
3 In 0.0000 0.0000 0.1943 [3 per cell]
4 Pd 0.0000 0.0000 0.8002 [3 per cell]

Summary:
DOS(E_F): 0.628 states/eV per atom
ΔH_f (0 K): -1.838 eV per formula unit
total moment: 0.00 μB/cell

No. 6
Below is a relaxed BaZnIn2Pd crystal, with properties calculated at the PBE level.

abc: 5.236 5.236 5.034
angles: 90.00 90.00 90.00
Space group P4/mmm (No. 123)
Unique sites:
1 Ba 0.000 0.000 0.000 [1 per cell]
2 Zn 0.500 0.500 0.000 [1 per cell]
3 In 0.000 0.500 0.500 [2 per cell]
4 Pd 0.500 0.500 0.500 [1 per cell]

Summary:
DOS(E_F): 0.478 states/eV per atom
ΔH_f (0 K): -1.756 eV per formula unit
total moment: 0.00 μB/cell

No. 7
Below is a relaxed BaZnInPd3 crystal, with properties calculated at the PBE level.

abc: 6.140 12.582 7.186
angles: 90.00 90.00 90.00
Space group Cmcm (No. 63)
Unique sites:
1 Ba 0.000 0.196 0.250 [4 per cell]
2 Zn 0.000 0.455 0.250 [4 per cell]
3 In 0.000 0.124 0.750 [4 per cell]
4 Pd 0.000 0.340 0.750 [4 per cell]
5 Pd 0.235 0.000 0.000 [8 per cell]

Summary:
DOS(E_F): 0.406 states/eV per atom
ΔH_f (0 K): -2.464 eV per formula unit
total moment: 0.00 μB/cell

No. 8
Below is a relaxed Ba2Zn3InPd4 crystal, with properties calculated at the PBE level.

abc: 4.588 4.588 10.718
angles: 90.00 90.00 90.00
Space group P-4m2 (No. 115)
Unique sites:
1 Ba 0.000 0.500 0.236 [2 per cell]
2 Zn 0.000 0.500 0.883 [2 per cell]
3 Zn 0.500 0.500 0.500 [1 per cell]
4 In 0.000 0.000 0.500 [1 per cell]
5 Pd 0.000 0.000 0.000 [1 per cell]
6 Pd 0.000 0.500 0.636 [2 per cell]
7 Pd 0.500 0.500 0.000 [1 per cell]

Summary:
DOS(E_F): 0.556 states/eV per atom
ΔH_f (0 K): -5.222 eV per formula unit
total moment: 0.00 μB/cell

No. 9
Below is a relaxed Ba2ZnIn6Pd crystal, with properties calculated at the PBE level.

abc: 7.252 7.281 7.754
angles: 62.64 62.15 60.13
Space group P-1 (No. 2)
Unique sites:
1 Ba 0.206 0.209 0.379 [2 per cell]
2 Zn 0.500 0.500 0.500 [1 per cell]
3 In 0.249 0.668 0.834 [2 per cell]
4 In 0.251 0.247 0.831 [2 per cell]
5 In 0.330 0.755 0.168 [2 per cell]
6 Pd 0.000 0.000 0.000 [1 per cell]

Summary:
DOS(E_F): 0.314 states/eV per atom
ΔH_f (0 K): -3.015 eV per formula unit
total moment: 0.00 μB/cell

No. 10
Below is a relaxed BaPm2In3 crystal, with properties calculated at the PBE level.

abc: 12.709 9.207 7.233
angles: 90.00 90.00 90.00
Space group Cmcm (No. 63)
Unique sites:
1 Ba 0.000 0.163 0.250 [4 per cell]
2 Pm 0.207 0.500 0.000 [8 per cell]
3 In 0.000 0.443 0.750 [4 per cell]
4 In 0.146 0.200 0.750 [8 per cell]

Summary:
DOS(E_F): 0.865 states/eV per atom
ΔH_f (0 K): -2.026 eV per formula unit
energy above the most stable polymorph in this dataset: 111 meV per atom
total moment: 0.00 μB/cell

No. 11
Below is a relaxed BaPm2In3 crystal, with properties calculated at the PBE level.

abc: 3.957 3.957 12.130
angles: 90.00 90.00 90.00
Space group P4/mmm (No. 123)
Unique sites:
1 Ba 0.000 0.000 0.000 [1 per cell]
2 Pm 0.000 0.000 0.345 [2 per cell]
3 In 0.500 0.500 0.199 [2 per cell]
4 In 0.500 0.500 0.500 [1 per cell]

Summary:
DOS(E_F): 0.675 states/eV per atom
ΔH_f (0 K): -2.691 eV per formula unit
energy above the most stable polymorph in this dataset: 0 meV per atom
total moment: 0.00 μB/cell

No. 12
Below is a relaxed BaPm5In3 crystal, with properties calculated at the PBE level.

abc: 9.6986 9.6986 7.0504
angles: 90.00 90.00 120.00
Space group P6_3/mcm (No. 193)
Unique sites:
1 Ba 0.0000 0.0000 0.0000 [2 per cell]
2 Pm 0.0000 0.3354 0.2500 [6 per cell]
3 Pm 0.3333 0.6667 0.0000 [4 per cell]
4 In 0.0000 0.3412 0.7500 [6 per cell]

Summary:
DOS(E_F): 1.161 states/eV per atom
ΔH_f (0 K): -2.602 eV per formula unit
total moment: 0.00 μB/cell

No. 13
Below is a relaxed Ba2PmIn crystal, with properties calculated at the PBE level.

abc: 3.9155 3.9155 39.0570
angles: 90.00 90.00 120.00
Space group R-3m (No. 166, hexagonal axes)
Unique sites:
1 Ba 0.0000 0.0000 0.0958 [6 per cell]
2 Pm 0.0000 0.0000 0.0000 [3 per cell]
3 In 0.0000 0.0000 0.5000 [3 per cell]

Summary:
DOS(E_F): 1.379 states/eV per atom
ΔH_f (0 K): 0.704 eV per formula unit
total moment: 1.20 μB/cell

No. 14
Below is a relaxed Ba3PmIn4 crystal, with properties calculated at the PBE level.

abc: 4.129 4.129 16.986
angles: 90.00 90.00 90.00
Space group P4/mmm (No. 123)
Unique sites:
1 Ba 0.000 0.000 0.000 [1 per cell]
2 Ba 0.000 0.000 0.262 [2 per cell]
3 Pm 0.000 0.000 0.500 [1 per cell]
4 In 0.500 0.500 0.129 [2 per cell]
5 In 0.500 0.500 0.401 [2 per cell]

Summary:
DOS(E_F): 0.865 states/eV per atom
ΔH_f (0 K): -3.218 eV per formula unit
total moment: 0.00 μB/cell

No. 15
Below is a relaxed BaPmIn4 crystal, with properties calculated at the PBE level.

abc: 8.849 8.849 8.849
angles: 90.00 90.00 90.00
Space group F-43m (No. 216)
Unique sites:
1 Ba 0.000 0.000 0.000 [4 per cell]
2 Pm 0.250 0.250 0.250 [4 per cell]
3 In 0.125 0.125 0.625 [16 per cell]

Summary:
DOS(E_F): 0.555 states/eV per atom
ΔH_f (0 K): -2.227 eV per formula unit
total moment: 0.00 μB/cell

No. 16
Below is a relaxed BaPmPrIn crystal, with properties calculated at the PBE level.

abc: 8.284 8.284 8.284
angles: 90.00 90.00 90.00
Space group F-43m (No. 216)
Unique sites:
1 Ba 0.000 0.000 0.000 [4 per cell]
2 Pm 0.250 0.250 0.750 [4 per cell]
3 Pr 0.000 0.000 0.500 [4 per cell]
4 In 0.250 0.250 0.250 [4 per cell]

Summary:
DOS(E_F): 1.371 states/eV per atom
ΔH_f (0 K): 0.032 eV per formula unit
total moment: 2.73 μB/cell

No. 17
Below is a relaxed Ba2PmIn12Pt3 crystal, with properties calculated at the PBE level.

abc: 9.5790 9.5790 21.3888
angles: 90.00 90.00 120.00
Space group R-3m (No. 166, hexagonal axes)
Unique sites:
1 Ba 0.0000 0.0000 0.0856 [6 per cell]
2 Pm 0.0000 0.0000 0.5000 [3 per cell]
3 In 0.0771 0.5385 0.2935 [18 per cell]
4 In 0.0822 0.5411 0.8776 [18 per cell]
5 Pt 0.0000 0.5000 0.0000 [9 per cell]

Summary:
DOS(E_F): 0.742 states/eV per atom
ΔH_f (0 K): -3.004 eV per formula unit
total moment: 0.00 μB/cell

No. 18
Below is a relaxed BaPmInS4 crystal, with properties calculated at the PBE level.

abc: 6.924 6.961 8.569
angles: 90.00 107.18 90.00
Space group P2_1/m (No. 11)
Unique sites:
1 Ba 0.246 0.250 0.056 [2 per cell]
2 Pm 0.212 0.250 0.552 [2 per cell]
3 In 0.247 0.750 0.328 [2 per cell]
4 S 0.009 0.510 0.720 [4 per cell]
5 S 0.454 0.750 0.143 [2 per cell]
6 S 0.481 0.750 0.601 [2 per cell]

Summary:
DOS(E_F): 0.000 states/eV per atom
DFT total energy: -5.2008 eV per atom
total moment: 0.00 μB/cell

No. 19
Below is a relaxed Ba2PmInS5 crystal, with properties calculated at the PBE level.

abc: 4.200 18.483 13.041
angles: 90.00 90.00 90.00
Space group Cmc2_1 (No. 36)
Unique sites:
1 Ba 0.000 0.115 0.000 [4 per cell]
2 Ba 0.000 0.131 0.632 [4 per cell]
3 Pm 0.000 0.212 0.337 [4 per cell]
4 In 0.000 0.449 0.759 [4 per cell]
5 S 0.000 0.049 0.367 [4 per cell]
6 S 0.000 0.290 0.979 [4 per cell]
7 S 0.000 0.317 0.690 [4 per cell]
8 S 0.000 0.358 0.320 [4 per cell]
9 S 0.000 0.496 0.091 [4 per cell]

Summary:
DOS(E_F): 0.000 states/eV per atom
DFT total energy: -5.2571 eV per atom
total moment: 0.00 μB/cell

No. 20
Below is a relaxed Ba2PmIn2Sb4 crystal, with properties calculated at the PBE level.

abc: 17.056 4.711 8.302
angles: 90.00 109.92 90.00
Space group C2/m (No. 12)
Unique sites:
1 Ba 0.127 0.000 0.076 [4 per cell]
2 Pm 0.000 0.000 0.500 [2 per cell]
3 In 0.167 0.500 0.481 [4 per cell]
4 Sb 0.000 0.500 0.234 [4 per cell]
5 Sb 0.203 0.000 0.709 [4 per cell]

Summary:
DOS(E_F): 0.419 states/eV per atom
DFT total energy: -4.1083 eV per atom
total moment: 0.00 μB/cell